The following is a DFT calculation (PBE) of a geometry-optimized LaYTh2 structure.

Values from the calculation:
- Energy of formation from the pure elements: 169 meV/atom
- Total magnetic moment: 0.0 μB/f.u.
- DFT total energy: -25.554 eV for the cell shown
- Theoretical density: 8.66 g/cm3
- Energy relative to the lowest polymorph listed for this composition: 142.6 meV/atom
- V: 132.7 Å³ per cell

Lattice parameters (Å, degrees): 4.2487 4.2487 7.3526 90.00 90.00 90.00
With the nearest neighbours (Å) after each atom.
Sites, in units of the cell vectors:
Y1 0.5000 0.5000 0.5000  8 Th 3.48, 2 La 3.68
Th1 0.0000 0.0000 0.7386  4 Y 3.48, 2 Th 3.51-3.84, 4 La 3.57
Th2 0.0000 0.0000 0.2614  4 Y 3.48, 2 Th 3.51-3.84, 4 La 3.57
La1 0.5000 0.5000 0.0000  8 Th 3.57, 2 Y 3.68